1.
{
  "formula": "BaSbW2",
  "functional": "PBE-GGA",
  "state": "optimized geometry",
  "volume_a3_per_atom": 25.1,
  "spacegroup": "Pmmm (47)",
  "e_form_raw_kj_per_mol_fu": 371,
  "lattice_angstrom": [[3.4027, 0.0000, 0.0000], [0.0000, 4.0892, 0.0000], [0.0000, 0.0000, 7.2100]],
  "species": ["Ba", "Sb", "W", "W"],
  "fractional_positions": [[0.5000, 0.5000, 0.2500], [0.5000, 0.5000, 0.7500], [0.0000, 0.0000, 0.9124], [0.0000, 0.0000, 0.5876]]
}

2.
{
  "formula": "Zn2RuCl",
  "functional": "PBE-GGA",
  "state": "optimized geometry",
  "volume_a3_per_atom": 16.0,
  "de_polymorph_mev_per_atom": 316.0,
  "spacegroup": "P4/mmm (123)",
  "e_form_raw_kj_per_mol_fu": 95,
  "lattice_angstrom": [[3.0308, 0.0000, 0.0000], [0.0000, 4.5963, 0.0000], [0.0000, 0.0000, 4.5963]],
  "species": ["Cl", "Ru", "Zn", "Zn"],
  "fractional_positions": [[0.5000, 0.5000, 0.0000], [0.5000, 0.0000, 0.5000], [0.0000, 0.0000, 0.0000], [0.0000, 0.5000, 0.5000]]
}

3.
{
  "formula": "Mg3AlSn2",
  "functional": "PBE-GGA",
  "state": "optimized geometry",
  "volume_a3_per_atom": 22.3,
  "spacegroup": "Cmmm (65)",
  "e_form_ev_per_fu": -0.423,
  "lattice_angstrom": [[-1.6610, 2.8456, 2.8382], [-2.8145, 1.4322, -3.0831], [-3.2629, -5.4848, 3.5895]],
  "species": ["Mg", "Mg", "Mg", "Al", "Sn", "Sn"],
  "fractional_positions": [[0.5000, 0.1636, 0.3271], [0.5000, 0.5000, 0.0000], [0.5000, 0.8364, 0.6729], [0.0000, 0.0000, 0.0000], [0.0000, 0.6568, 0.3136], [0.0000, 0.3432, 0.6864]]
}

4.
{
  "formula": "Hf2ThPd",
  "functional": "PBE-GGA",
  "state": "optimized geometry",
  "volume_a3_per_atom": 22.6,
  "spacegroup": "P4/mmm (123)",
  "e_form_ev_per_fu": -1.055,
  "lattice_angstrom": [[-2.1014, 2.6459, -0.4642], [-2.3385, -2.0918, -1.3371], [-3.0060, -1.1494, 7.0554]],
  "species": ["Hf", "Hf", "Pd", "Th"],
  "fractional_positions": [[0.0000, 0.0000, 0.7940], [0.0000, 0.0000, 0.2060], [0.5000, 0.5000, 0.0000], [0.5000, 0.5000, 0.5000]]
}

5.
{
  "formula": "TbZn2GaAu2",
  "functional": "PBE-GGA",
  "state": "optimized geometry",
  "volume_a3_per_atom": 19.0,
  "spacegroup": "P-3m1 (164)",
  "e_form_ev_per_fu": -2.713,
  "lattice_angstrom": [[-0.2223, 1.0913, 4.4753], [-2.8047, -3.2271, -1.7286], [4.2254, -4.3532, 1.2714]],
  "species": ["Tb", "Zn", "Zn", "Ga", "Au", "Au"],
  "fractional_positions": [[0.0000, 0.0000, 0.0000], [0.3333, 0.6667, 0.7230], [0.6667, 0.3333, 0.2770], [0.0000, 0.0000, 0.5000], [0.3333, 0.6667, 0.2544], [0.6667, 0.3333, 0.7456]]
}

6.
{
  "formula": "Dy8Er4Pu",
  "functional": "PBE-GGA",
  "state": "optimized geometry",
  "volume_a3_per_atom": 34.8,
  "spacegroup": "R-3m (166)",
  "e_form_ev_per_fu": 6.625,
  "lattice_angstrom": [[7.4780, -1.1373, 1.3082], [0.8945, 7.5109, 1.3082], [-1.4939, -1.1373, 7.4431]],
  "species": ["Dy", "Dy", "Dy", "Dy", "Dy", "Dy", "Dy", "Dy", "Er", "Er", "Er", "Er", "Pu"],
  "fractional_positions": [[0.2443, 0.7544, 0.2443], [0.7557, 0.7557, 0.2456], [0.7557, 0.2456, 0.7557], [0.2456, 0.7557, 0.7557], [0.7554, 0.7554, 0.7554], [0.2446, 0.2446, 0.2446], [0.7544, 0.2443, 0.2443], [0.2443, 0.2443, 0.7544], [0.5000, 0.0000, 0.5000], [0.0000, 0.5000, 0.5000], [0.5000, 0.5000, 0.0000], [0.0000, 0.0000, 0.0000], [0.5000, 0.5000, 0.5000]]
}

7.
{
  "formula": "LiSbAs",
  "functional": "PBE-GGA",
  "state": "optimized geometry",
  "volume_a3_per_atom": 21.3,
  "spacegroup": "F-43m (216)",
  "e_form_raw_kj_per_mol_fu": -35,
  "lattice_angstrom": [[-1.0249, -1.3829, 4.1455], [-2.6019, -3.6110, 0.5822], [1.7661, -3.8048, 1.5975]],
  "species": ["As", "Li", "Sb"],
  "fractional_positions": [[0.5000, 0.5000, 0.5000], [0.7500, 0.7500, 0.7500], [0.0000, 0.0000, 0.0000]]
}

8.
{
  "formula": "GdPuZnBi",
  "functional": "PBE-GGA",
  "state": "optimized geometry",
  "volume_a3_per_atom": 26.7,
  "spacegroup": "F-43m (216)",
  "e_form_ev_per_fu": -1.255,
  "lattice_angstrom": [[-2.0370, -1.3183, 4.7440], [-1.2597, -5.0714, 1.0423], [2.9149, -2.8116, 3.4628]],
  "species": ["Zn", "Gd", "Bi", "Pu"],
  "fractional_positions": [[0.2500, 0.2500, 0.2500], [0.5000, 0.5000, 0.5000], [0.7500, 0.7500, 0.7500], [0.0000, 0.0000, 0.0000]]
}